# 1
# Hf6ZrTi PBE-GGA relaxed
# Offset from the most stable computed form = 0.000 eV per formula unit
# Formation enthalpy at 0 K = 14 kJ/mol of formula units
# Total magnetization = 0.000 μB/cell
data_Hf6ZrTi
_chemical_formula_sum 'Hf12 Zr2 Ti2'
_cell_length_a 5.015
_cell_length_b 6.351
_cell_length_c 11.003
_cell_angle_alpha 90.00
_cell_angle_beta 90.00
_cell_angle_gamma 90.00
_space_group_name_H-M_alt 'A m m 2'
_space_group_IT_number 38
loop_
_space_group_symop_operation_xyz
'x,y,z'
'-x,-y,z'
'-x,y,z'
'x,-y,z'
'x,y+1/2,z+1/2'
'-x,-y+1/2,z+1/2'
'-x,y+1/2,z+1/2'
'x,-y+1/2,z+1/2'
loop_
_atom_site_label
_atom_site_type_symbol
_atom_site_fract_x
_atom_site_fract_y
_atom_site_fract_z
Hf1 Hf 0.000 0.000 0.000
Hf2 Hf 0.000 0.247 0.251
Hf3 Hf 0.500 0.000 0.834
Hf4 Hf 0.500 0.248 0.083
Zr1 Zr 0.000 0.000 0.497
Ti1 Ti 0.500 0.000 0.332

# 2
# InCuAg3 PBE-GGA relaxed
# Offset from the most stable computed form = 0.003 eV per formula unit
# Formation enthalpy at 0 K = 17 kJ/mol of formula units
# Total magnetization = 0.000 μB/cell
data_InCuAg3
_chemical_formula_sum 'In2 Cu2 Ag6'
_cell_length_a 5.127
_cell_length_b 5.864
_cell_length_c 6.349
_cell_angle_alpha 102.51
_cell_angle_beta 95.40
_cell_angle_gamma 105.19
_space_group_name_H-M_alt 'P -1'
_space_group_IT_number 2
loop_
_space_group_symop_operation_xyz
'x,y,z'
'-x,-y,-z'
loop_
_atom_site_label
_atom_site_type_symbol
_atom_site_fract_x
_atom_site_fract_y
_atom_site_fract_z
In1 In 0.133 0.216 0.206
Cu1 Cu 0.500 0.000 0.000
Cu2 Cu 0.500 0.500 0.000
Ag1 Ag 0.125 0.708 0.193
Ag2 Ag 0.294 0.604 0.621
Ag3 Ag 0.302 0.104 0.620

# 3
# Ce2Ni4S5 PBE-GGA relaxed
# Formation energy (no corrections) = -982 meV per atom
# Total magnetization = 0.000 μB/cell
data_Ce2Ni4S5
_chemical_formula_sum 'Ce6 Ni12 S15'
_cell_length_a 3.7593
_cell_length_b 3.7593
_cell_length_c 46.8233
_cell_angle_alpha 90.00
_cell_angle_beta 90.00
_cell_angle_gamma 120.00
_space_group_name_H-M_alt 'R -3 m'
_space_group_IT_number 166
_space_group_name_Hall '-R 3 2"'
loop_
_atom_site_label
_atom_site_type_symbol
_atom_site_fract_x
_atom_site_fract_y
_atom_site_fract_z
Ce1 Ce 0.0000 0.0000 0.1283
Ni1 Ni 0.0000 0.0000 0.3176
Ni2 Ni 0.0000 0.0000 0.4136
S1 S 0.0000 0.0000 0.2422
S2 S 0.0000 0.0000 0.3653
S3 S 0.0000 0.0000 0.5000

Results for VASP energy: -9.503, -3.043, -6.039 (in eV per atom, following the order of the records).